Record 1
Ca2NdSc, optimized geometry, DFT PBE; energy above the most stable polymorph in this dataset = 0 meV/atom; N(E_F) = 1.365 states/eV per atom; M_tot = 0.000 μB per atom; calculated formation energy = 0.205 eV per atom
1.0
5.781 0.000 0.000
2.890 5.006 0.000
2.890 1.669 4.720
Sc Ca Nd
1 2 1
Direct
0.500 0.500 0.500
0.250 0.250 0.250
0.750 0.750 0.750
0.000 0.000 0.000



Record 2
Sr2In4Ag3Hg, optimized geometry, DFT PBE; N(E_F) = 0.428 states/eV per atom; M_tot = 0.000 μB per atom; calculated formation energy = -0.280 eV per atom
1.0
4.729 0.000 0.000
0.000 4.729 0.000
0.000 0.000 11.888
Sr In Ag Hg
2 4 3 1
Direct
0.500 0.000 0.251
0.000 0.500 0.749
0.500 0.500 0.000
0.000 0.000 0.000
0.500 0.000 0.636
0.000 0.500 0.364
0.000 0.000 0.500
0.500 0.000 0.865
0.000 0.500 0.135
0.500 0.500 0.500



Record 3
YPuRu, optimized geometry, DFT PBE; energy above the most stable polymorph in this dataset = 0 meV/atom; N(E_F) = 2.318 states/eV per atom; M_tot = 1.702 μB per atom; calculated formation energy = -0.188 eV per atom
1.0
-0.391 1.633 3.677
-5.715 -0.748 -2.498
0.689 -10.783 4.861
Y Pu Ru
4 4 4
Direct
0.918 0.836 0.346
0.591 0.183 0.178
0.409 0.817 0.822
0.082 0.164 0.654
0.791 0.582 0.612
0.137 0.274 0.948
0.209 0.418 0.388
0.863 0.726 0.052
0.593 0.186 0.443
0.283 0.566 0.168
0.407 0.814 0.557
0.717 0.434 0.832



Record 4
CaMnCo, optimized geometry, DFT PBE; energy above the most stable polymorph in this dataset = 121 meV/atom; N(E_F) = 0.891 states/eV per atom; M_tot = 0.416 μB per atom; calculated formation energy = 0.316 eV per atom
1.0
-1.014 -3.630 0.524
5.431 0.540 0.425
-1.529 -0.748 5.674
Ca Mn Co
2 2 2
Direct
0.044 0.778 0.810
0.177 0.345 0.112
0.483 0.378 0.533
0.738 0.745 0.390
0.850 0.176 0.596
0.371 0.947 0.327



Record 5
Pm4Pr2Nd, optimized geometry, DFT PBE; energy above the most stable polymorph in this dataset = 0 meV/atom; N(E_F) = 1.343 states/eV per atom; M_tot = 0.000 μB per atom; calculated formation energy = 0.008 eV per atom
1.0
-0.152 -1.250 3.453
2.427 -2.506 1.156
13.669 14.071 7.652
Pm Pr Nd
4 2 1
Direct
0.143 0.143 0.571
0.286 0.286 0.142
0.714 0.714 0.858
0.857 0.857 0.429
0.429 0.429 0.714
0.571 0.571 0.286
0.000 0.000 0.000



Record 6
KTe2Cl, optimized geometry, DFT PBE; energy above the most stable polymorph in this dataset = 879 meV/atom; formation energy from raw total energies = 0.03 eV/atom; N(E_F) = 1.366 states/eV per atom; M_tot = 0.000 μB per atom
1.0
0.000 3.962 3.962
3.962 0.000 3.962
3.962 3.962 0.000
K Te Cl
1 2 1
Direct
0.500 0.500 0.500
0.250 0.250 0.250
0.750 0.750 0.750
0.000 0.000 0.000



Record 7
LiRhCl3, optimized geometry, DFT PBE; energy above the most stable polymorph in this dataset = 0 meV/atom; formation energy from raw total energies = -0.67 eV/atom; N(E_F) = 0.339 states/eV per atom; M_tot = 0.000 μB per atom
1.0
-3.959 2.717 0.542
-1.738 -1.698 -4.178
-2.159 -3.618 2.368
Li Rh Cl
1 1 3
Direct
0.500 0.500 0.500
0.000 0.000 0.000
0.000 0.500 0.000
0.000 0.000 0.500
0.500 0.000 0.000



Record 8
K17Rb11Cd, optimized geometry, DFT PBE; N(E_F) = 0.779 states/eV per atom; M_tot = 0.000 μB per atom; calculated formation energy = 0.020 eV per atom
1.0
-9.938 -5.906 8.743
13.318 -3.952 4.136
-0.931 13.515 1.035
K Rb Cd
17 11 1
Direct
0.999 0.999 0.354
0.690 0.690 0.295
0.622 0.622 0.615
0.379 0.379 0.701
0.959 0.959 0.983
0.326 0.570 0.028
0.421 0.720 0.405
0.020 0.317 0.599
0.968 0.365 0.976
0.277 0.660 0.660
0.589 0.001 0.324
0.001 0.589 0.324
0.660 0.277 0.660
0.365 0.968 0.976
0.317 0.020 0.599
0.720 0.421 0.405
0.570 0.326 0.028
0.217 0.217 0.934
0.606 0.794 0.993
0.192 0.372 0.312
0.832 0.020 0.636
0.611 0.008 0.799
0.818 0.193 0.199
0.193 0.818 0.199
0.008 0.611 0.799
0.020 0.832 0.636
0.372 0.192 0.312
0.794 0.606 0.993
0.455 0.455 0.257



Record 9
Zn2SiSn, optimized geometry, DFT PBE; energy above the most stable polymorph in this dataset = 74 meV/atom; formation energy from raw total energies = 0.35 eV/atom; N(E_F) = 0.474 states/eV per atom; M_tot = 0.000 μB per atom
1.0
2.363 -4.070 -0.682
-0.202 -3.444 3.273
-2.387 -4.011 -0.913
Zn Si Sn
2 1 1
Direct
0.250 0.250 0.250
0.750 0.750 0.750
0.000 0.000 0.000
0.500 0.500 0.500



Record 10
Tb2Sc2Tl, optimized geometry, DFT PBE; energy above the most stable polymorph in this dataset = 147 meV/atom; N(E_F) = 1.380 states/eV per atom; M_tot = 0.000 μB per atom; calculated formation energy = 0.143 eV per atom
1.0
-0.224 3.259 -2.152
-5.971 -3.563 -4.774
-5.937 3.011 5.178
Tb Sc Tl
4 4 2
Direct
0.000 0.355 0.855
0.000 0.855 0.645
0.000 0.645 0.145
0.000 0.145 0.355
0.500 0.155 0.655
0.500 0.655 0.845
0.500 0.845 0.345
0.500 0.345 0.155
0.000 0.000 0.000
0.000 0.500 0.500



Record 11
AcNd5Sb4, optimized geometry, DFT PBE; formation energy from raw total energies = -0.63 eV/atom; N(E_F) = 0.995 states/eV per atom; M_tot = 0.000 μB per atom
1.0
-1.672 -6.449 -2.888
5.672 2.091 -7.952
8.553 -4.428 4.936
Ac Nd Sb
2 10 8
Direct
0.888 0.000 0.000
0.112 0.500 0.500
0.257 0.745 0.784
0.257 0.255 0.784
0.702 0.500 0.000
0.257 0.745 0.216
0.257 0.255 0.216
0.743 0.755 0.284
0.743 0.245 0.284
0.298 0.000 0.500
0.743 0.245 0.716
0.743 0.755 0.716
0.015 0.000 0.711
0.538 0.789 0.000
0.538 0.211 0.000
0.015 0.000 0.289
0.985 0.500 0.211
0.462 0.711 0.500
0.462 0.289 0.500
0.985 0.500 0.789



Record 12
Pm3Sm2Tm4, optimized geometry, DFT PBE; N(E_F) = 1.452 states/eV per atom; M_tot = 0.000 μB per atom; calculated formation energy = 0.099 eV per atom
1.0
-0.380 -3.685 4.862
-5.432 -9.731 -1.398
6.150 -9.396 -0.240
Pm Sm Tm
6 4 8
Direct
0.762 0.016 0.310
0.738 0.690 0.984
0.238 0.984 0.690
0.262 0.310 0.016
0.250 0.640 0.360
0.750 0.360 0.640
0.434 0.269 0.513
0.066 0.487 0.731
0.566 0.731 0.487
0.934 0.513 0.269
0.423 0.946 0.172
0.077 0.828 0.054
0.577 0.054 0.828
0.923 0.172 0.946
0.097 0.154 0.382
0.403 0.618 0.846
0.903 0.846 0.618
0.597 0.382 0.154